First-principles (PBE) data for a relaxed structure of La3TbPmDy, as listed in the Alexandria database.

## Properties
- space group = No. 11
- DFT total energy (eV/atom) = -4.77
- formation energy from the elements (eV per atom) = 0.022
- density of states at the Fermi level (states/eV/f.u.) = 9.98

Cell lengths 3.674, 11.001, 10.981 Å; angles 109.60, 90.00, 90.00 degrees
Fractional coordinates of all 12 atoms:
La1 0.250 0.123 0.954
Dy1 0.750 0.879 0.706
La2 0.750 0.371 0.540
Tb1 0.250 0.120 0.623
Pm1 0.250 0.628 0.127
Pm2 0.750 0.372 0.873
Tb2 0.750 0.880 0.377
La3 0.250 0.629 0.460
La4 0.750 0.877 0.046
La5 0.750 0.375 0.208
La6 0.250 0.625 0.792
Dy2 0.250 0.121 0.294